A plane-wave DFT calculation with PBE-GGA was carried out for a relaxed structure of KCdIr.

Cell: 6.7889 6.7889 6.7889 Å, 90.00 90.00 90.00°
Last column: nearest neighbours and their distance in Å.
Space group F-43m (No. 216)
Inequivalent atoms, fractional coordinates:
K 0.0000 0.0000 0.0000 (multiplicity 4)  4 Ir 2.94
Cd 0.0000 0.0000 0.5000 (multiplicity 4)  4 Ir 2.94
Ir 0.2500 0.2500 0.7500 (multiplicity 4)  4 Cd 2.94, 4 K 2.94

Properties
The calculation puts the raw total energy at -2.82 eV/atom. The polymorph energy (0 for the lowest one) is 0.000 eV/f.u. The value obtained for the total magnetization is 0.002 μB per cell.